# 1
An optimized crystal structure of LiYW2, computed with PBE.

Final energy = -8.014 eV/atom
Crystal system = tetragonal
Fermi-level density of states = 2.2 states/eV/cell
Offset from the most stable computed form = 4.052 kcal/mol of atoms
Formation enthalpy at 0 K = 556.6 meV per atom

Lattice parameters (Å, degrees): 5.643 5.643 5.643 139.99 139.99 57.86
Fractional coordinates of all 4 atoms:
Y1 0.250 0.750 0.500
W1 0.500 0.500 0.000
W2 0.000 0.000 0.000
Li1 0.750 0.250 0.500

---

# 2
An optimized crystal structure of LiYW2, computed with PBE.

Final energy = -8.107 eV/atom
Crystal system = cubic
Fermi-level density of states = 3.0 states/eV/cell
Offset from the most stable computed form = 1.918 kcal/mol of atoms
Formation enthalpy at 0 K = 464.0 meV per atom

Lattice parameters (Å, degrees): 4.659 4.659 4.659 120.03 119.96 90.01
Fractional coordinates of all 4 atoms:
W1 0.750 0.250 0.500
W2 0.000 0.000 0.000
Li1 0.250 0.750 0.500
Y1 0.500 0.500 0.000

---

# 3
An optimized crystal structure of LiY2W, computed with PBE.

Final energy = -6.370 eV/atom
Crystal system = orthorhombic
Fermi-level density of states = 4.2 states/eV/cell
Offset from the most stable computed form = 5.394 kcal/mol of atoms
Formation enthalpy at 0 K = 578.3 meV per atom

Lattice parameters (Å, degrees): 3.033 4.867 6.241 90.00 90.00 90.00
Fractional coordinates of all 4 atoms:
Y1 0.500 0.500 0.276
Li1 0.000 0.000 0.503
W1 0.500 0.500 0.774
Y2 0.000 0.000 0.947